Density functional theory data (PBE) for SmThGa6 after structural relaxation.

Unit cell a=4.625 b=6.418 c=6.418 alpha=119.99 beta=90.00 gamma=90.00
Element x y z (fractional)
1 Sm 0.000 0.083 0.917
2 Th 0.500 0.417 0.583
3 Ga 0.000 0.035 0.392
4 Ga 0.000 0.608 0.965
5 Ga 0.000 0.608 0.392
6 Ga 0.500 0.461 0.105
7 Ga 0.500 0.895 0.539
8 Ga 0.500 0.895 0.105

Results
E_form in kJ per mole of atoms: -52.9
Total magnetization in μB per atom: 0.00
E_tot in eV/atom: -4.336
Space group: No. 187



Density functional theory data (PBE) for TbUTe2O after structural relaxation.

Unit cell a=4.171 b=4.171 c=14.584 alpha=90.00 beta=90.00 gamma=90.00
Each line ends with the local moment (μB).
Element x y z (fractional)
1 Tb 0.500 0.000 0.093  0.01
2 Tb 0.000 0.500 0.907  0.01
3 U 0.500 0.000 0.575  2.40
4 U 0.000 0.500 0.425  2.40
5 Te 0.000 0.500 0.687  -0.06
6 Te 0.000 0.500 0.124  0.00
7 Te 0.500 0.000 0.876  0.00
8 Te 0.500 0.000 0.313  -0.06
9 O 0.000 0.000 0.500  -0.07
10 O 0.500 0.500 0.500  -0.07

Results
Total magnetization in μB per atom: 0.48
E_tot in eV/atom: -7.197
Space group: No. 129



Density functional theory data (PBE) for Sr2ScSi after structural relaxation.

Unit cell a=6.146 b=6.146 c=6.146 alpha=135.02 beta=135.02 gamma=65.50
Element x y z (fractional)
1 Sc 0.250 0.750 0.500
2 Si 0.750 0.250 0.500
3 Sr 0.000 0.000 0.000
4 Sr 0.500 0.500 0.000

Results
Total magnetization in μB per atom: 0.00
E_tot in eV/atom: -3.634
Space group: No. 139



Density functional theory data (PBE) for SrS3Br after structural relaxation.

Unit cell a=4.963 b=4.963 c=4.963 alpha=90.00 beta=90.00 gamma=90.00
Element x y z (fractional)
1 Sr 0.500 0.500 0.500
2 S 0.000 0.500 0.000
3 S 0.000 0.000 0.500
4 S 0.500 0.000 0.000
5 Br 0.000 0.000 0.000

Results
Total magnetization in μB per atom: 0.00
E_tot in eV/atom: -3.307
Space group: No. 221
Energy above the lowest structure with this stoichiometry in meV per atom: 0



Density functional theory data (PBE) for PrErPu2S4 after structural relaxation.

Unit cell a=3.960 b=6.882 c=6.894 alpha=109.28 beta=90.00 gamma=90.00
Each line ends with the local moment (μB).
Element x y z (fractional)
1 Pr 0.000 0.000 0.000  0.02
2 Er 0.500 0.500 0.000  0.04
3 Pu 0.500 0.000 0.500  5.41
4 Pu 0.000 0.500 0.500  5.28
5 S 0.500 0.262 0.257  -0.06
6 S 0.500 0.738 0.743  -0.06
7 S 0.000 0.260 0.751  -0.06
8 S 0.000 0.740 0.249  -0.06

Results
Total magnetization in μB per atom: 1.42
E_tot in eV/atom: -8.703
Space group: No. 10



Density functional theory data (PBE) for HgS6Br after structural relaxation.

Unit cell a=9.112 b=5.272 c=9.804 alpha=89.27 beta=80.50 gamma=33.62
Element x y z (fractional)
1 Hg 0.000 0.000 0.500
2 S 0.582 0.075 0.228
3 S 0.286 0.266 0.365
4 S 0.714 0.734 0.635
5 S 0.418 0.925 0.772
6 S 0.053 0.603 0.801
7 S 0.947 0.397 0.199
8 Br 0.000 0.000 0.000

Results
Total magnetization in μB per atom: 0.00
E_tot in eV/atom: -3.246
Space group: No. 2



Density functional theory data (PBE) for BaTbGa2Pd2 after structural relaxation.

Unit cell a=4.558 b=4.558 c=7.986 alpha=90.00 beta=90.00 gamma=120.00
Element x y z (fractional)
1 Ba 0.000 0.000 0.000
2 Tb 0.000 0.000 0.500
3 Ga 0.667 0.333 0.698
4 Ga 0.333 0.667 0.302
5 Pd 0.667 0.333 0.309
6 Pd 0.333 0.667 0.691

Results
E_form in kJ per mole of atoms: -72.5
Total magnetization in μB per atom: 0.00
E_tot in eV/atom: -4.584
Space group: No. 164



Density functional theory data (PBE) for La2YTe after structural relaxation.

Unit cell a=10.448 b=10.448 c=10.448 alpha=21.94 beta=21.94 gamma=21.94
Element x y z (fractional)
1 La 0.002 0.002 0.002
2 La 0.237 0.237 0.237
3 Te 0.497 0.497 0.497
4 Y 0.764 0.764 0.764

Results
Total magnetization in μB per atom: 0.00
E_tot in eV/atom: -5.464
Space group: No. 160



Density functional theory data (PBE) for Pm2Ga7Ag12 after structural relaxation.

Unit cell a=4.085 b=10.707 c=10.707 alpha=120.00 beta=90.00 gamma=90.00
Element x y z (fractional)
1 Pm 0.246 0.333 0.667
2 Pm 0.754 0.667 0.333
3 Ga 0.500 0.000 0.000
4 Ga 0.255 0.873 0.292
5 Ga 0.255 0.419 0.127
6 Ga 0.255 0.708 0.581
7 Ga 0.745 0.127 0.708
8 Ga 0.745 0.581 0.873
9 Ga 0.745 0.292 0.419
10 Ag 0.249 0.620 0.053
11 Ag 0.249 0.433 0.380
12 Ag 0.249 0.947 0.567
13 Ag 0.751 0.380 0.947
14 Ag 0.751 0.567 0.620
15 Ag 0.751 0.053 0.433
16 Ag 0.238 0.116 0.260
17 Ag 0.238 0.145 0.884
18 Ag 0.238 0.740 0.855
19 Ag 0.762 0.884 0.740
20 Ag 0.762 0.855 0.116
21 Ag 0.762 0.260 0.145

Results
E_form in kJ per mole of atoms: -15.8
Total magnetization in μB per atom: 0.00
E_tot in eV/atom: -3.254
Space group: No. 147



Density functional theory data (PBE) for Mn2Pt2Rh3 after structural relaxation.

Unit cell a=2.741 b=2.732 c=14.138 alpha=90.00 beta=84.44 gamma=90.00
Each line ends with the local moment (μB).
Element x y z (fractional)
1 Mn 0.149 0.500 0.703  3.20
2 Mn 0.851 0.500 0.297  3.20
3 Pt 0.418 0.000 0.165  0.08
4 Pt 0.582 0.000 0.835  0.08
5 Rh 0.290 0.000 0.419  -0.17
6 Rh 0.000 0.000 0.000  -0.56
7 Rh 0.710 0.000 0.581  -0.17

Results
E_form in kJ per mole of atoms: 4.1
Total magnetization in μB per atom: 0.84
E_tot in eV/atom: -7.454
Space group: No. 10



Density functional theory data (PBE) for Sm5Tm2In after structural relaxation.

Unit cell a=7.170 b=8.310 c=7.121 alpha=129.30 beta=120.23 gamma=90.02
Element x y z (fractional)
1 Sm 0.667 0.219 0.864
2 Sm 0.197 0.219 0.864
3 Sm 0.759 0.722 0.019
4 Sm 0.259 0.721 0.018
5 Sm 0.782 0.752 0.563
6 Tm 0.250 0.694 0.500
7 Tm 0.676 0.222 0.353
8 In 0.186 0.226 0.372

Results
E_form in kJ per mole of atoms: -9.7
Total magnetization in μB per atom: 0.00
E_tot in eV/atom: -4.510
Space group: No. 1
Energy above the lowest structure with this stoichiometry in meV per atom: 0



Density functional theory data (PBE) for PmThSc2 after structural relaxation.

Unit cell a=3.481 b=3.481 c=11.126 alpha=81.00 beta=81.00 gamma=60.00
Element x y z (fractional)
1 Pm 0.500 0.500 0.499
2 Th 0.667 0.667 0.000
3 Sc 0.081 0.081 0.758
4 Sc 0.253 0.253 0.242

Results
E_form in kJ per mole of atoms: 5.3
Total magnetization in μB per atom: 0.00
E_tot in eV/atom: -6.153
Space group: No. 160
Energy above the lowest structure with this stoichiometry in meV per atom: 32